(1)
The following is a GGA-PBE calculation of a geometry-optimized Sb2TeRhSe structure, from Alexandria via LeMat-Bulk.

a b c (Å): 5.084 5.084 5.347
angles (deg): 90.00 90.00 90.00
Space group P4/mmm (No. 123)
Asymmetric unit:
Sb  0.000  0.500  0.000 x2
Te  0.000  0.000  0.500 x1
Rh  0.000  0.000  0.000 x1
Se  0.500  0.500  0.500 x1

Computed properties:
Formation energy (no corrections) in meV per atom: 351
Polymorph energy (0 for the lowest one) in meV per atom: 0

(2)
The following is a GGA-PBE calculation of a geometry-optimized NaAgGe structure, from Alexandria via LeMat-Bulk.

a b c (Å): 4.134 5.465 6.599
angles (deg): 103.91 108.17 90.13
Space group P-1 (No. 2)
Asymmetric unit:
Na  0.102  0.290  0.203 x2
Ag  0.414  0.281  0.827 x2
Ge  0.236  0.848  0.473 x2

Computed properties:
Formation enthalpy at 0 K in eV/atom: 0.0333

no.,Fermi-level density of states (states/eV per atom),total moment (μB/atom)
1,1.13,0.000
2,0.31,0.000